Entry 1:
Compound: HfCoRh3
Source: the Alexandria database
Functional: PBE
Structure: relaxed

Output
- Fermi-level density of states (states/eV/f.u.) = 3.70
- total magnetic moment (μB per formula unit) = 3.14
- total DFT energy (no corrections) (eV for the cell shown) = -37.0

Lattice parameters (Å, degrees): 4.433 4.433 4.433 90.00 90.00 90.00
Sites, in units of the cell vectors:
Rh  0.000  0.500  0.000
Rh  0.000  0.000  0.500
Rh  0.500  0.000  0.000
Hf  0.500  0.500  0.500
Co  0.000  0.000  0.000


Entry 2:
Compound: HfCoRh2
Source: the Alexandria database
Functional: PBE
Structure: relaxed

Output
- Fermi-level density of states (states/eV/f.u.) = 4.36
- total magnetic moment (μB per formula unit) = 1.07
- total DFT energy (no corrections) (eV for the cell shown) = -63.9

Lattice parameters (Å, degrees): 3.833 3.833 9.162 77.93 77.93 90.00
Sites, in units of the cell vectors:
Rh  0.596  0.125  0.250
Rh  0.154  0.625  0.250
Rh  0.375  0.404  0.750
Rh  0.875  0.846  0.750
Hf  0.000  0.000  0.000
Hf  0.750  0.250  0.500
Co  0.500  0.500  0.000
Co  0.250  0.750  0.500


Entry 3:
Compound: Hf4Co3Rh
Source: the Alexandria database
Functional: PBE
Structure: relaxed

Output
- Fermi-level density of states (states/eV/f.u.) = 8.90
- total magnetic moment (μB per formula unit) = 1.75
- total DFT energy (no corrections) (eV for the cell shown) = -72.5

Lattice parameters (Å, degrees): 4.510 4.510 7.787 73.17 73.17 60.00
Sites, in units of the cell vectors:
Co  0.250  0.250  0.250
Co  0.750  0.750  0.750
Co  0.500  0.500  0.500
Hf  0.873  0.873  0.382
Hf  0.378  0.378  0.867
Hf  0.127  0.127  0.618
Hf  0.622  0.622  0.133
Rh  0.000  0.000  0.000


Entry 4:
Compound: Hf8CoRh5
Source: the Alexandria database
Functional: PBE
Structure: relaxed

Output
- Fermi-level density of states (states/eV/f.u.) = 12.05
- total magnetic moment (μB per formula unit) = 0.00
- total DFT energy (no corrections) (eV for the cell shown) = -131.1

Lattice parameters (Å, degrees): 6.988 6.988 6.988 110.83 106.79 110.83
Sites, in units of the cell vectors:
Hf  0.172  0.751  0.027
Hf  0.973  0.144  0.724
Hf  0.727  0.249  0.346
Hf  0.654  0.381  0.903
Hf  0.522  0.619  0.273
Hf  0.579  0.856  0.828
Hf  0.276  0.249  0.421
Hf  0.097  0.751  0.478
Co  0.250  0.500  0.750
Rh  0.013  0.336  0.140
Rh  0.860  0.873  0.196
Rh  0.804  0.664  0.677
Rh  0.500  0.000  0.500
Rh  0.323  0.127  0.987


Entry 5:
Compound: Hf3Co2Rh
Source: the Alexandria database
Functional: PBE
Structure: relaxed

Output
- Fermi-level density of states (states/eV/f.u.) = 5.28
- total magnetic moment (μB per formula unit) = 0.00
- total DFT energy (no corrections) (eV for the cell shown) = -54.7

Lattice parameters (Å, degrees): 3.160 3.160 9.740 90.00 90.00 90.00
Sites, in units of the cell vectors:
Hf  0.000  0.000  0.000
Hf  0.000  0.000  0.676
Hf  0.000  0.000  0.324
Co  0.500  0.500  0.836
Co  0.500  0.500  0.164
Rh  0.500  0.500  0.500


Entry 6:
Compound: HfScCoRh
Source: the Alexandria database
Functional: PBE
Structure: relaxed

Output
- Fermi-level density of states (states/eV/f.u.) = 2.39
- total magnetic moment (μB per formula unit) = 0.00
- total DFT energy (no corrections) (eV for the cell shown) = -33.4

Lattice parameters (Å, degrees): 4.524 4.524 4.524 60.00 60.00 60.00
Sites, in units of the cell vectors:
Sc  0.750  0.750  0.750
Rh  0.000  0.000  0.000
Hf  0.250  0.250  0.250
Co  0.500  0.500  0.500


Entry 7:
Compound: SmHfCoRh
Source: the Alexandria database
Functional: PBE
Structure: relaxed

Output
- Fermi-level density of states (states/eV/f.u.) = 2.27
- total magnetic moment (μB per formula unit) = 0.00
- total DFT energy (no corrections) (eV for the cell shown) = -30.7

Lattice parameters (Å, degrees): 4.714 4.714 4.714 60.00 60.00 60.00
Sites, in units of the cell vectors:
Rh  0.750  0.750  0.750
Hf  0.000  0.000  0.000
Sm  0.500  0.500  0.500
Co  0.250  0.250  0.250


Entry 8:
Compound: HfCoSnRh
Source: the Alexandria database
Functional: PBE
Structure: relaxed

Output
- Fermi-level density of states (states/eV/f.u.) = 2.88
- total magnetic moment (μB per formula unit) = 1.61
- total DFT energy (no corrections) (eV for the cell shown) = -30.6

Lattice parameters (Å, degrees): 4.522 4.522 4.522 60.00 60.00 60.00
Sites, in units of the cell vectors:
Rh  0.250  0.250  0.250
Hf  0.000  0.000  0.000
Sn  0.500  0.500  0.500
Co  0.750  0.750  0.750